Material: Fe3ReO
Method: DFT, GGA+U
State: relaxed

For the density of states at the Fermi level, the calculation gives 6.040 states/eV/f.u. The uncorrected energy comes out at -23.252 eV per formula unit.

It has space group Pm-3m (No. 221), with a = 4.764 Å, b = 4.764 Å, c = 4.764 Å, α = 90.00°, β = 90.00° and γ = 90.00°. The asymmetric unit holds Fe at (0.000, 0.000, 0.500), Re at (0.000, 0.000, 0.000) and O at (0.500, 0.500, 0.500).